Entry 1:
A relaxed structure of BSe3Cl, computed with GGA-PBE.

POSCAR file:
```
BSe3Cl
1.0
4.532 0.000 0.000
0.000 4.532 0.000
0.000 0.000 4.532
B Se Cl
1 3 1
Direct
0.000 0.000 0.000
0.000 0.000 0.500
0.000 0.500 0.000
0.500 0.000 0.000
0.500 0.500 0.500
```

Summary:
DOS(E_F) in states/eV/cell: 5.1
Energy above the lowest structure with this stoichiometry in eV per formula unit: 0.000
SG: No. 221

***

Entry 2:
A relaxed structure of BSe3Cl, computed with GGA-PBE.

POSCAR file:
```
BSe3Cl
1.0
5.001 0.000 0.000
0.000 5.001 0.000
0.000 0.000 5.001
B Se Cl
1 3 1
Direct
0.000 0.000 0.000
0.000 0.500 0.500
0.500 0.000 0.500
0.500 0.500 0.000
0.500 0.500 0.500
```

Summary:
DOS(E_F) in states/eV/cell: 3.4
Energy above the lowest structure with this stoichiometry in eV per formula unit: 4.567
SG: No. 221

***

Entry 3:
A relaxed structure of BSeCl2, computed with GGA-PBE.

POSCAR file:
```
BSeCl2
1.0
1.604 0.926 9.507
-1.604 0.926 9.507
0.000 -1.852 9.507
B Se Cl
1 1 2
Direct
0.000 0.000 0.000
0.500 0.500 0.500
0.058 0.058 0.058
0.942 0.942 0.942
```

Summary:
DOS(E_F) in states/eV/cell: 2.7
Energy above the lowest structure with this stoichiometry in eV per formula unit: 0.000
SG: No. 166

***

Entry 4:
A relaxed structure of BSeCl2, computed with GGA-PBE.

POSCAR file:
```
BSeCl2
1.0
0.000 3.434 3.434
3.434 0.000 3.434
3.434 3.434 0.000
B Se Cl
1 1 2
Direct
0.000 0.000 0.000
0.500 0.500 0.500
0.250 0.250 0.250
0.750 0.750 0.750
```

Summary:
DOS(E_F) in states/eV/cell: 3.4
Energy above the lowest structure with this stoichiometry in eV per formula unit: 4.361
SG: No. 225

***

Entry 5:
A relaxed structure of B2SeCl, computed with GGA-PBE.

POSCAR file:
```
B2SeCl
1.0
0.000 3.026 3.026
3.026 0.000 3.026
3.026 3.026 0.000
B Se Cl
2 1 1
Direct
0.250 0.250 0.250
0.750 0.750 0.750
0.000 0.000 0.000
0.500 0.500 0.500
```

Summary:
DOS(E_F) in states/eV/cell: 1.7
Energy above the lowest structure with this stoichiometry in eV per formula unit: 1.969
SG: No. 225

***

Entry 6:
A relaxed structure of BSeCl, computed with GGA-PBE.

POSCAR file:
```
BSeCl
1.0
9.335 0.000 0.000
0.000 9.335 0.000
0.000 0.000 3.174
B Se Cl
4 4 4
Direct
0.158 0.173 0.000
0.173 0.842 0.500
0.827 0.158 0.500
0.842 0.827 0.000
0.052 0.760 0.000
0.240 0.052 0.500
0.760 0.948 0.500
0.948 0.240 0.000
0.227 0.350 0.500
0.350 0.773 0.000
0.650 0.227 0.000
0.773 0.650 0.500
```

Summary:
DOS(E_F) in states/eV/cell: 0.0
Energy above the lowest structure with this stoichiometry in eV per formula unit: 1.629
SG: No. 84

***

What did the sixth record say?
A relaxed structure of BSeCl, computed with GGA-PBE.

POSCAR file:
```
BSeCl
1.0
9.335 0.000 0.000
0.000 9.335 0.000
0.000 0.000 3.174
B Se Cl
4 4 4
Direct
0.158 0.173 0.000
0.173 0.842 0.500
0.827 0.158 0.500
0.842 0.827 0.000
0.052 0.760 0.000
0.240 0.052 0.500
0.760 0.948 0.500
0.948 0.240 0.000
0.227 0.350 0.500
0.350 0.773 0.000
0.650 0.227 0.000
0.773 0.650 0.500
```

Summary:
DOS(E_F) in states/eV/cell: 0.0
Energy above the lowest structure with this stoichiometry in eV per formula unit: 1.629
SG: No. 84

***

Question: Among the records above, which one has the highest DOS(E_F)?
Answer: number 1

***

Question: The lowest DOS(E_F) belongs to which entry?
Answer: BSeCl